## Na3LiBi (GGA-PBE)

Data for an optimized crystal structure of Na3LiBi.

Energy of formation (eV/atom): 0.01
Relative energy among the computed polymorphs (eV/atom): 0.2544
Spin magnetization (μB/f.u.): 0.80
VASP energy (eV per atom): -1.9402

Unit cell a=6.033 b=6.033 c=6.033 alpha=90.00 beta=90.00 gamma=90.00
Space group Pm-3m (No. 221)
Asymmetric unit:
1 Na 0.000 0.000 0.500 (multiplicity 3)
2 Li 0.500 0.500 0.500 (multiplicity 1)
3 Bi 0.000 0.000 0.000 (multiplicity 1)

=====

## Na3LiBi4 (GGA-PBE)

Data for an optimized crystal structure of Na3LiBi4.

Energy of formation (eV/atom): -0.32
Spin magnetization (μB/f.u.): 0.00
VASP energy (eV per atom): -2.9966

Unit cell a=3.437 b=3.437 c=18.805 alpha=90.00 beta=90.00 gamma=90.00
Space group P4/mmm (No. 123)
Asymmetric unit:
1 Na 0.000 0.000 0.000 (multiplicity 1)
2 Na 0.000 0.000 0.260 (multiplicity 2)
3 Li 0.000 0.000 0.500 (multiplicity 1)
4 Bi 0.500 0.500 0.131 (multiplicity 2)
5 Bi 0.500 0.500 0.393 (multiplicity 2)

=====

## NaLi3Bi4 (GGA-PBE)

Data for an optimized crystal structure of NaLi3Bi4.

Energy of formation (eV/atom): -0.32
Spin magnetization (μB/f.u.): 0.00
VASP energy (eV per atom): -3.1456

Unit cell a=3.470 b=5.409 c=10.669 alpha=90.00 beta=90.00 gamma=90.00
Space group Pmmm (No. 47)
Asymmetric unit:
1 Na 0.000 0.000 0.000 (multiplicity 1)
2 Li 0.000 0.000 0.500 (multiplicity 1)
3 Li 0.000 0.500 0.244 (multiplicity 2)
4 Bi 0.500 0.000 0.269 (multiplicity 2)
5 Bi 0.500 0.500 0.000 (multiplicity 1)
6 Bi 0.500 0.500 0.500 (multiplicity 1)

=====

## Na3LiBi (GGA-PBE)

Data for an optimized crystal structure of Na3LiBi.

Energy of formation (eV/atom): -0.24
Relative energy among the computed polymorphs (eV/atom): 0.0000
Spin magnetization (μB/f.u.): 0.25
VASP energy (eV per atom): -2.1946

Unit cell a=9.194 b=6.339 c=10.555 alpha=90.00 beta=90.16 gamma=90.00
Space group P2/c (No. 13)
Asymmetric unit:
1 Na 0.088 0.027 0.376 (multiplicity 4)
2 Na 0.178 0.498 0.129 (multiplicity 4)
3 Na 0.403 0.314 0.884 (multiplicity 4)
4 Li 0.418 0.153 0.372 (multiplicity 4)
5 Bi 0.283 0.006 0.626 (multiplicity 4)

=====

## NaLiBi2 (GGA-PBE)

Data for an optimized crystal structure of NaLiBi2.

Energy of formation (eV/atom): -0.28
Relative energy among the computed polymorphs (eV/atom): 0.0639
Spin magnetization (μB/f.u.): 0.00
VASP energy (eV per atom): -3.0263

Unit cell a=7.480 b=7.480 c=7.480 alpha=90.00 beta=90.00 gamma=90.00
Space group Fm-3m (No. 225)
Asymmetric unit:
1 Na 0.000 0.000 0.000 (multiplicity 4)
2 Li 0.000 0.000 0.500 (multiplicity 4)
3 Bi 0.250 0.250 0.250 (multiplicity 8)

=====

## Na2Li2Bi (GGA-PBE)

Data for an optimized crystal structure of Na2Li2Bi.

Energy of formation (eV/atom): -0.23
Relative energy among the computed polymorphs (eV/atom): 0.0000
Spin magnetization (μB/f.u.): 0.00
VASP energy (eV per atom): -2.2959

Unit cell a=7.192 b=7.192 c=5.220 alpha=90.00 beta=90.00 gamma=90.00
Space group P4/mbm (No. 127)
Asymmetric unit:
1 Na 0.187 0.313 0.000 (multiplicity 4)
2 Li 0.146 0.646 0.500 (multiplicity 4)
3 Bi 0.000 0.000 0.500 (multiplicity 2)

=====

## NaLiBi2 (GGA-PBE)

Data for an optimized crystal structure of NaLiBi2.

Energy of formation (eV/atom): -0.34
Relative energy among the computed polymorphs (eV/atom): 0.0000
Spin magnetization (μB/f.u.): 0.00
VASP energy (eV per atom): -3.0902

Unit cell a=3.414 b=3.414 c=9.077 alpha=90.00 beta=90.00 gamma=90.00
Space group P4/mmm (No. 123)
Asymmetric unit:
1 Na 0.000 0.000 0.000 (multiplicity 1)
2 Li 0.000 0.000 0.500 (multiplicity 1)
3 Bi 0.500 0.500 0.274 (multiplicity 2)

=====

## NaLi2Bi2 (GGA-PBE)

Data for an optimized crystal structure of NaLi2Bi2.

Energy of formation (eV/atom): -0.31
Relative energy among the computed polymorphs (eV/atom): 0.0737
Spin magnetization (μB/f.u.): 0.00
VASP energy (eV per atom): -2.8882

Unit cell a=4.694 b=4.694 c=12.436 alpha=90.00 beta=90.00 gamma=90.00
Space group I4/mmm (No. 139)
Asymmetric unit:
1 Na 0.000 0.000 0.000 (multiplicity 2)
2 Li 0.000 0.500 0.250 (multiplicity 4)
3 Bi 0.000 0.000 0.381 (multiplicity 4)

=====

## NaLi2Bi (GGA-PBE)

Data for an optimized crystal structure of NaLi2Bi.

Energy of formation (eV/atom): -0.18
Spin magnetization (μB/f.u.): 0.00
VASP energy (eV per atom): -2.4364

Unit cell a=4.978 b=4.978 c=18.883 alpha=90.00 beta=90.00 gamma=90.00
Space group I-42d (No. 122)
Asymmetric unit:
1 Na 0.000 0.000 0.000 (multiplicity 4)
2 Li 0.135 0.250 0.625 (multiplicity 8)
3 Bi 0.000 0.000 0.500 (multiplicity 4)

=====

## NaLi6Bi4 (GGA-PBE)

Data for an optimized crystal structure of NaLi6Bi4.

Energy of formation (eV/atom): -0.40
Spin magnetization (μB/f.u.): 0.00
VASP energy (eV per atom): -2.9797

Unit cell a=9.2721 b=9.2721 c=3.4698 alpha=90.00 beta=90.00 gamma=120.00
Space group P-6m2 (No. 187)
Asymmetric unit:
1 Na 0.0000 0.0000 0.0000 (multiplicity 1)
2 Li 0.1889 0.3778 0.5000 (multiplicity 3)
3 Li 0.5172 0.0344 0.0000 (multiplicity 3)
4 Bi 0.3333 0.6667 0.0000 (multiplicity 1)
5 Bi 0.3625 0.1813 0.5000 (multiplicity 3)